Record 1
Crystalline Y2CoPIr at its relaxed geometry. Source: Alexandria via LeMat-Bulk, functional PBE-GGA.

Computed properties:
**Total magnetic moment**: 1.1 Bohr magnetons per cell
**Space group**: P4/mmm
**Distance to the lowest polymorph of the same formula**: 0 meV per atom
**Calculated formation energy**: -1.43 eV/f.u.
**VASP energy**: -35.7 eV per cell

Cell and atoms, written as POSCAR:
```
Y2CoPIr
1.0
-1.046 -3.043 4.113
3.915 -0.434 0.674
-0.067 4.205 3.095
Y P Ir Co
2 1 1 1
Direct
0.000 0.000 0.500
0.500 0.000 0.000
0.000 0.000 0.000
0.500 0.500 0.500
0.000 0.500 0.000
```

Record 2
Crystalline Y2CoP3Ir4 at its relaxed geometry. Source: Alexandria via LeMat-Bulk, functional PBE-GGA.

Computed properties:
**Total magnetic moment**: 1.5 Bohr magnetons per cell
**Space group**: P-4m2
**Calculated formation energy**: -8.76 eV/f.u.
**VASP energy**: -80.5 eV per cell

Cell and atoms, written as POSCAR:
```
Y2CoP3Ir4
1.0
-1.422 -3.737 0.717
1.367 0.212 3.819
-8.583 3.813 2.860
Y Co P Ir
2 1 3 4
Direct
0.500 0.000 0.255
0.000 0.500 0.745
0.500 0.500 0.500
0.000 0.000 0.500
0.500 0.000 0.861
0.000 0.500 0.139
0.500 0.500 0.000
0.000 0.000 0.000
0.500 0.000 0.628
0.000 0.500 0.372
```